[1]
A relaxed RbCeBr6 crystal, computed with PBE.

Geometry as POSCAR:
```
RbCeBr6
1.0
8.857 1.217 -0.745
0.639 6.138 2.336
-0.598 -1.031 6.490
Br Ce Rb
6 1 1
Direct
0.230 0.676 0.005
0.230 0.036 0.366
0.770 0.366 0.036
0.770 0.005 0.676
0.124 0.292 0.750
0.876 0.750 0.292
0.000 0.021 0.021
0.500 0.021 0.021
```

Values from the calculation:
Its uncorrected formation energy is -1021 kJ/mol of formula units. Its mass density is 3.206 Mg/m³. The raw total energy comes out at -27.5 eV for the cell shown. The value obtained for the density of states at the Fermi level is 8.5 states/eV/f.u.



[2]
A relaxed PuTl2SnCl6 crystal, computed with PBE.

Geometry as POSCAR:
```
PuTl2SnCl6
1.0
7.457 0.000 0.070
0.000 8.018 0.000
0.169 0.000 10.834
Cl Pu Tl Sn
12 2 4 2
Direct
0.187 0.206 0.058
0.687 0.294 0.558
0.813 0.794 0.942
0.115 0.464 0.752
0.695 0.309 0.947
0.313 0.706 0.442
0.195 0.191 0.447
0.885 0.536 0.248
0.615 0.036 0.252
0.305 0.691 0.053
0.805 0.809 0.553
0.385 0.964 0.748
0.500 0.000 0.500
0.000 0.500 0.000
0.470 0.427 0.246
0.970 0.073 0.746
0.530 0.573 0.754
0.030 0.927 0.254
0.000 0.500 0.500
0.500 0.000 0.000
```

Values from the calculation:
Its uncorrected formation energy is -1196 kJ/mol of formula units. Its mass density is 5.047 Mg/m³. The raw total energy comes out at -93.1 eV for the cell shown. The value obtained for the density of states at the Fermi level is 17.5 states/eV/f.u.



[3]
A relaxed Hf2ZrReO crystal, computed with PBE.

Geometry as POSCAR:
```
Hf2ZrReO
1.0
5.344 0.000 0.000
0.000 3.724 0.000
0.000 0.000 5.344
Hf Re Zr O
2 1 1 1
Direct
0.500 0.000 0.000
0.000 0.000 0.500
0.000 0.000 0.000
0.500 0.500 0.500
0.000 0.500 0.000
```

Values from the calculation:
Its uncorrected formation energy is 119 kJ/mol of formula units. Its mass density is 10.155 Mg/m³. The raw total energy comes out at -44.6 eV for the cell shown. The value obtained for the density of states at the Fermi level is 5.3 states/eV/f.u.